# Ho4MnCd PBE-GGA relaxed
# Formation energy in eV per atom: -0.050
data_Ho4MnCd
_chemical_formula_sum 'Ho16 Mn4 Cd4'
_symmetry_space_group_name_H-M 'C 1 2/c 1'
_symmetry_Int_Tables_number 15
_cell_length_a 8.6748
_cell_length_b 12.6995
_cell_length_c 6.0078
_cell_angle_alpha 90.00
_cell_angle_beta 107.13
_cell_angle_gamma 90.00
loop_
_symmetry_equiv_pos_as_xyz
'x,y,z'
'-x,-y,-z'
'-x,y,-z+1/2'
'x,-y,z+1/2'
'x+1/2,y+1/2,z'
'-x+1/2,-y+1/2,-z'
'-x+1/2,y+1/2,-z+1/2'
'x+1/2,-y+1/2,z+1/2'
loop_
_atom_site_label
_atom_site_type_symbol
_atom_site_fract_x
_atom_site_fract_y
_atom_site_fract_z
Ho1 Ho 0.1043 0.1670 0.0459
Ho2 Ho 0.2187 0.4186 0.3869
Mn1 Mn 0.0000 0.0011 0.2500
Cd1 Cd 0.0000 0.3748 0.7500


# Mg2SiB2Os5 PBE-GGA relaxed
# Formation energy from raw total energies in eV per atom: -0.1122
data_Mg2SiB2Os5
_chemical_formula_sum 'Mg4 Si2 B4 Os10'
_symmetry_space_group_name_H-M 'P 4/m b m'
_symmetry_Int_Tables_number 127
_symmetry_space_group_name_Hall '-P 4 2ab'
_cell_length_a 9.3398
_cell_length_b 9.3398
_cell_length_c 2.9545
_cell_angle_alpha 90.00
_cell_angle_beta 90.00
_cell_angle_gamma 90.00
loop_
_atom_site_label
_atom_site_type_symbol
_atom_site_fract_x
_atom_site_fract_y
_atom_site_fract_z
Mg1 Mg 0.1773 0.3227 0.0000
Si1 Si 0.0000 0.0000 0.0000
B1 B 0.1270 0.6270 0.0000
Os1 Os 0.0000 0.5000 0.5000
Os2 Os 0.0655 0.7908 0.5000


# Zn3GaRu PBE-GGA relaxed
# Formation energy in eV per atom: 0.458
# Distance to the lowest polymorph of the same formula in meV per atom: 514
data_Zn3GaRu
_chemical_formula_sum 'Zn3 Ga1 Ru1'
_symmetry_space_group_name_H-M 'P m -3 m'
_symmetry_Int_Tables_number 221
_symmetry_space_group_name_Hall '-P 4 2 3'
_cell_length_a 4.7764
_cell_length_b 4.7764
_cell_length_c 4.7764
_cell_angle_alpha 90.00
_cell_angle_beta 90.00
_cell_angle_gamma 90.00
loop_
_atom_site_label
_atom_site_type_symbol
_atom_site_fract_x
_atom_site_fract_y
_atom_site_fract_z
Zn1 Zn 0.0000 0.0000 0.5000
Ga1 Ga 0.5000 0.5000 0.5000
Ru1 Ru 0.0000 0.0000 0.0000


# Te3PO PBE-GGA relaxed
# Formation energy from raw total energies in eV per atom: 0.5447
# Distance to the lowest polymorph of the same formula in meV per atom: 0
data_Te3PO
_chemical_formula_sum 'Te3 P1 O1'
_symmetry_space_group_name_H-M 'P m -3 m'
_symmetry_Int_Tables_number 221
_symmetry_space_group_name_Hall '-P 4 2 3'
_cell_length_a 4.7962
_cell_length_b 4.7962
_cell_length_c 4.7962
_cell_angle_alpha 90.00
_cell_angle_beta 90.00
_cell_angle_gamma 90.00
loop_
_atom_site_label
_atom_site_type_symbol
_atom_site_fract_x
_atom_site_fract_y
_atom_site_fract_z
Te1 Te 0.0000 0.0000 0.5000
P1 P 0.5000 0.5000 0.5000
O1 O 0.0000 0.0000 0.0000


# La2As3 PBE-GGA relaxed
# Formation energy in eV per atom: -1.093
data_La2As3
_chemical_formula_sum 'La16 As24'
_symmetry_space_group_name_H-M 'F d d d'
_symmetry_Int_Tables_number 70
_cell_length_a 7.9270
_cell_length_b 8.2800
_cell_length_c 15.7566
_cell_angle_alpha 90.00
_cell_angle_beta 90.00
_cell_angle_gamma 90.00
loop_
_symmetry_equiv_pos_as_xyz
'x,y,z'
'-x,-y,-z'
'-x+1/4,-y+1/4,z'
'x+1/4,y+1/4,-z'
'x,-y+1/4,-z+1/4'
'-x,y+1/4,z+1/4'
'-x+1/4,y,-z+1/4'
'x+1/4,-y,z+1/4'
'x,y+1/2,z+1/2'
'-x,-y+1/2,-z+1/2'
'-x+1/4,-y+3/4,z+1/2'
'x+1/4,y+3/4,-z+1/2'
'x,-y+3/4,-z+3/4'
'-x,y+3/4,z+3/4'
'-x+1/4,y+1/2,-z+3/4'
'x+1/4,-y+1/2,z+3/4'
'x+1/2,y,z+1/2'
'-x+1/2,-y,-z+1/2'
'-x+3/4,-y+1/4,z+1/2'
'x+3/4,y+1/4,-z+1/2'
'x+1/2,-y+1/4,-z+3/4'
'-x+1/2,y+1/4,z+3/4'
'-x+3/4,y,-z+3/4'
'x+3/4,-y,z+3/4'
'x+1/2,y+1/2,z'
'-x+1/2,-y+1/2,-z'
'-x+3/4,-y+3/4,z'
'x+3/4,y+3/4,-z'
'x+1/2,-y+3/4,-z+1/4'
'-x+1/2,y+3/4,z+1/4'
'-x+3/4,y+1/2,-z+1/4'
'x+3/4,-y+1/2,z+1/4'
loop_
_atom_site_label
_atom_site_type_symbol
_atom_site_fract_x
_atom_site_fract_y
_atom_site_fract_z
La1 La 0.1250 0.1250 0.3251
As1 As 0.0000 0.0000 0.5000
As2 As 0.1250 0.1250 0.1250


# FeSn2TeCl PBE-GGA relaxed
# Formation energy from raw total energies in eV per atom: 0.4746
data_FeSn2TeCl
_chemical_formula_sum 'Fe1 Sn2 Te1 Cl1'
_symmetry_space_group_name_H-M 'P 4/m m m'
_symmetry_Int_Tables_number 123
_symmetry_space_group_name_Hall '-P 4 2'
_cell_length_a 5.5945
_cell_length_b 5.5945
_cell_length_c 4.1815
_cell_angle_alpha 90.00
_cell_angle_beta 90.00
_cell_angle_gamma 90.00
loop_
_atom_site_label
_atom_site_type_symbol
_atom_site_fract_x
_atom_site_fract_y
_atom_site_fract_z
Fe1 Fe 0.0000 0.0000 0.0000
Sn1 Sn 0.0000 0.5000 0.5000
Te1 Te 0.5000 0.5000 0.0000
Cl1 Cl 0.0000 0.0000 0.5000